Rb3SnBi2Se6 after structural relaxation, computed with GGA-PBE.

Lattice parameters (Å, degrees): 7.478 7.478 8.444 98.49 98.49 120.00
Atoms (fractional coordinates):
Se: 0.260 0.260 0.799
Se: 0.933 0.606 0.800
Se: 0.394 0.067 0.200
Se: 0.740 0.740 0.201
Se: 0.067 0.394 0.200
Se: 0.606 0.933 0.800
Bi: 0.666 0.334 0.000
Bi: 0.334 0.666 0.000
Rb: 0.168 0.832 0.500
Rb: 0.832 0.168 0.500
Rb: 0.500 0.500 0.500
Sn: 0.000 0.000 0.000

## Properties
Its uncorrected energy is -44.533 eV for the cell shown. Its space group is No. 12. For the energy relative to the elements, uncorrected, the calculation gives -0.747 eV per atom.

---

Rb2SnBi2Se6 after structural relaxation, computed with GGA-PBE.

Lattice parameters (Å, degrees): 7.240 7.240 8.680 98.54 98.54 119.58
Atoms (fractional coordinates):
Bi: 0.669 0.331 0.500
Bi: 0.331 0.669 0.500
Sn: 0.000 0.000 0.500
Rb: 0.173 0.827 0.000
Rb: 0.827 0.173 0.000
Se: 0.930 0.619 0.305
Se: 0.381 0.070 0.695
Se: 0.763 0.763 0.692
Se: 0.070 0.381 0.695
Se: 0.619 0.930 0.305
Se: 0.237 0.237 0.308

## Properties
Its uncorrected energy is -42.011 eV for the cell shown. Its space group is No. 12. For the energy relative to the elements, uncorrected, the calculation gives -0.673 eV per atom.

---

Rb3SnBi3Se8 after structural relaxation, computed with GGA-PBE.

Lattice parameters (Å, degrees): 8.486 8.486 9.625 116.19 90.00 120.00
Atoms (fractional coordinates):
Se: 0.266 0.531 0.297
Se: 0.734 0.469 0.703
Se: 0.781 0.028 0.309
Se: 0.753 0.972 0.691
Se: 0.219 0.438 0.691
Se: 0.219 0.972 0.691
Se: 0.247 0.028 0.309
Se: 0.781 0.562 0.309
Rb: 0.500 0.500 0.000
Rb: 0.000 0.500 0.000
Rb: 0.000 0.000 0.000
Sn: 0.000 0.000 0.500
Bi: 0.500 0.000 0.500
Bi: 0.000 0.500 0.500
Bi: 0.500 0.500 0.500

## Properties
Its uncorrected energy is -56.922 eV for the cell shown. Its space group is No. 166. For the energy relative to the elements, uncorrected, the calculation gives -0.700 eV per atom.

---

Rb3SrBi2Se6 after structural relaxation, computed with GGA-PBE.

Lattice parameters (Å, degrees): 7.608 7.608 8.481 98.63 98.63 120.04
Atoms (fractional coordinates):
Rb: 0.163 0.837 0.500
Rb: 0.500 0.500 0.500
Rb: 0.837 0.163 0.500
Se: 0.932 0.582 0.796
Se: 0.068 0.418 0.204
Se: 0.282 0.282 0.798
Se: 0.582 0.932 0.796
Se: 0.418 0.068 0.204
Se: 0.718 0.718 0.202
Bi: 0.667 0.333 0.000
Bi: 0.333 0.667 0.000
Sr: 0.000 0.000 0.000

## Properties
Its uncorrected energy is -44.868 eV for the cell shown. Its space group is No. 12. For the energy relative to the elements, uncorrected, the calculation gives -0.968 eV per atom.

---

Rb3Tb2BiSe6 after structural relaxation, computed with GGA-PBE.

Lattice parameters (Å, degrees): 7.443 7.443 8.372 98.52 98.52 120.00
Atoms (fractional coordinates):
Tb: 0.333 0.667 0.000
Tb: 0.667 0.333 0.000
Se: 0.934 0.594 0.802
Se: 0.726 0.726 0.197
Se: 0.406 0.066 0.198
Se: 0.594 0.934 0.802
Se: 0.274 0.274 0.803
Se: 0.066 0.406 0.198
Rb: 0.835 0.165 0.500
Rb: 0.165 0.835 0.500
Rb: 0.500 0.500 0.500
Bi: 0.000 0.000 0.000

## Properties
Its uncorrected energy is -54.050 eV for the cell shown. Its space group is No. 12. For the energy relative to the elements, uncorrected, the calculation gives -1.425 eV per atom.

---

Rb2TbBiSe4 after structural relaxation, computed with GGA-PBE.

Lattice parameters (Å, degrees): 4.306 7.487 8.374 107.16 90.00 90.00
Atoms (fractional coordinates):
Tb: 0.500 0.500 0.000
Bi: 0.000 0.000 0.000
Se: 0.500 0.240 0.200
Se: 0.000 0.726 0.197
Se: 0.500 0.760 0.800
Se: 0.000 0.274 0.803
Rb: 0.000 0.500 0.500
Rb: 0.500 0.000 0.500

## Properties
Its uncorrected energy is -34.503 eV for the cell shown. Its space group is No. 10. For the energy relative to the elements, uncorrected, the calculation gives -1.265 eV per atom.

---

Rb4Tb3BiSe8 after structural relaxation, computed with GGA-PBE.

Lattice parameters (Å, degrees): 8.575 9.410 8.574 117.12 120.00 90.00
Atoms (fractional coordinates):
Rb: 0.500 0.000 0.500
Rb: 0.000 0.000 0.500
Rb: 0.500 0.000 0.000
Rb: 0.000 0.000 0.000
Se: 0.764 0.302 0.038
Se: 0.236 0.698 0.962
Se: 0.732 0.696 0.464
Se: 0.236 0.698 0.471
Se: 0.727 0.698 0.962
Se: 0.764 0.302 0.529
Se: 0.273 0.302 0.038
Se: 0.268 0.304 0.536
Bi: 0.000 0.500 0.000
Tb: 0.500 0.500 0.500
Tb: 0.000 0.500 0.500
Tb: 0.500 0.500 0.000

## Properties
Its uncorrected energy is -73.567 eV for the cell shown. Its space group is No. 166. For the energy relative to the elements, uncorrected, the calculation gives -1.503 eV per atom.

---

RbBiTeSe3 after structural relaxation, computed with GGA-PBE.

Lattice parameters (Å, degrees): 4.299 9.337 11.141 103.05 90.00 90.00
Atoms (fractional coordinates):
Te: 0.750 0.878 0.432
Te: 0.250 0.122 0.568
Rb: 0.250 0.177 0.210
Rb: 0.750 0.823 0.790
Se: 0.250 0.556 0.858
Se: 0.750 0.293 0.583
Se: 0.250 0.125 0.890
Se: 0.750 0.875 0.110
Se: 0.750 0.444 0.142
Se: 0.250 0.707 0.417
Bi: 0.750 0.333 0.889
Bi: 0.250 0.667 0.111

## Properties
Its uncorrected energy is -42.095 eV for the cell shown. Its space group is No. 11. For the energy relative to the elements, uncorrected, the calculation gives -0.434 eV per atom.